## CaB2H4O6 (PBEsol)

Data for a geometry-optimized CaB2H4O6 structure.

Structure (extended XYZ):
```
104
Lattice="-0.3426 -3.7151 5.7439 -7.6475 -4.0072 -4.5075 7.3027 -8.3510 -4.9657" Properties=species:S:1:pos:R:3 pbc="T T T"
Ca 1.6311 -10.8769 -6.0292
Ca -3.8070 -7.8172 -4.2974
Ca 3.4643 -8.1317 -3.7907
Ca -0.0346 -4.2201 -0.6399
Ca -0.6528 -11.8532 -3.0895
Ca -4.1518 -7.9416 0.0613
Ca 3.1195 -8.2561 0.5681
Ca -2.3186 -5.1964 2.2998
B -1.0455 -10.7713 -7.5074
B -0.7902 -9.1815 -5.5305
B -2.9209 -4.0071 -2.1055
B -2.8371 -10.5906 -5.7854
B -4.7784 -5.6327 -2.4891
B -2.5955 -2.3510 -0.0623
B 2.3495 -5.7974 -1.8688
B -2.4243 -6.4430 -1.9393
B 1.7368 -9.6303 -1.7900
B -3.0370 -10.2759 -1.8605
B 1.9081 -13.7223 -3.6670
B 4.0910 -10.4406 -1.2403
B 2.1496 -5.4827 2.0560
B 2.2334 -12.0662 -1.6239
B 0.1027 -6.8918 1.8012
B 0.3581 -5.3020 3.7781
H 1.3336 -8.1818 -5.7245
H -5.7683 -5.6944 -4.3450
H 4.7145 -12.5225 -0.0014
H 1.5126 -5.6684 -3.6630
H 2.3527 -3.7919 -2.3888
H -0.6324 -7.4947 -4.4425
H -0.3159 -1.3535 -0.1984
H -1.2037 -5.9992 -3.4781
H -0.9959 -12.6677 -6.8324
H -6.7492 -5.2463 -2.3443
H 0.4471 -9.4028 -3.8428
H -6.0990 -7.5510 -2.8413
H 0.9590 -7.8117 -2.3373
H -1.7275 -9.4785 -3.2302
H 3.3058 -11.1085 -3.5572
H 0.9011 -13.3988 -5.3456
H -1.5885 -2.6745 1.6163
H -3.9932 -4.9648 -0.1721
H 1.0401 -6.5949 -0.4991
H -1.6464 -8.2617 -1.3920
H 5.4115 -8.5223 -0.8881
H -1.1345 -6.6706 0.1135
H 6.0617 -10.8270 -1.3851
H 0.3084 -3.4056 3.1030
H 0.5163 -10.0741 -0.2512
H -0.3716 -14.7198 -3.5310
H -0.0550 -8.5786 0.7131
H -3.0401 -12.2814 -1.3405
H -2.2000 -10.4049 -0.0664
H -5.4020 -3.5508 -3.7280
H 5.0809 -10.3789 0.6157
H -2.0211 -7.8915 1.9952
O -0.3988 -9.6063 -6.8628
O 2.2466 -8.5318 -5.9030
O -0.3909 -7.7363 -5.3758
O -4.8116 -5.6594 -3.9776
O 2.4054 -5.9795 -3.3456
O -2.6309 -2.7326 -1.4510
O -0.3011 -12.0169 -7.0978
O 0.5234 -1.8090 -0.5094
O -2.2406 -9.3120 -5.3198
O 5.2944 -9.3276 -4.9420
O -4.3709 -4.3097 -1.9906
O 2.3824 -4.3363 -1.5643
O -1.8039 -6.7582 -3.2770
O 5.1965 -6.8848 -2.6610
O -0.0281 -9.9883 -4.5376
O -2.1003 -5.0856 -1.5428
O -6.1586 -5.9563 -1.9768
O 3.3422 -10.6398 -4.4267
O -3.8824 -6.6802 -2.0322
O 1.0092 -6.3107 -1.4428
O 1.2544 -8.6538 -2.7980
O -2.3587 -11.6951 -4.8698
O 3.3562 -6.5265 -1.1406
O -1.7356 -3.2160 0.7918
O 1.0482 -12.8573 -4.5211
O -4.0436 -9.5468 -2.5888
O 1.6713 -4.3782 1.1405
O -1.9419 -7.4195 -0.9314
O -1.6966 -9.7626 -2.2866
O 3.1949 -9.3931 -1.6971
O -4.0296 -5.4335 0.6973
O 5.4711 -10.1170 -1.7526
O 1.4129 -10.9877 -2.1866
O -0.6593 -6.0850 0.8083
O -5.8839 -9.1886 -1.0684
O 1.1164 -9.3151 -0.4524
O -3.0698 -11.7370 -2.1650
O 3.6835 -11.7636 -1.7387
O -5.9819 -6.7458 1.2126
O 1.5531 -6.7613 1.5905
O -1.2109 -14.2643 -3.2200
O -0.3864 -4.0564 3.3685
O 1.9435 -13.3407 -2.2784
O -3.0928 -10.0938 -0.3838
O 4.1241 -10.4139 0.2482
O -0.2966 -8.3370 1.6465
O -2.9340 -7.5415 2.1736
O -0.2886 -6.4670 3.1335
```

Calculated values
Density of states at the Fermi level ... 0.00 states/eV/f.u.
Symmetry ... P2_1/c
Calculated density ... 2.7 g cm⁻³
Raw total energy ... -6.674 eV per atom